Record 1
{
  "formula": "KAg2Pb",
  "functional": "GGA-PBE",
  "state": "relaxed",
  "cell": [[-2.750, 2.750, 9.771], [2.750, -2.750, 9.771], [2.750, 2.750, -9.771]],
  "species": ["K", "K", "Ag", "Ag", "Ag", "Ag", "Pb", "Pb"],
  "fractional_positions": [[0.000, 0.000, 0.000], [0.750, 0.250, 0.500], [0.374, 0.625, 0.249], [0.375, 0.624, 0.749], [0.376, 0.125, 0.751], [0.875, 0.626, 0.251], [0.250, 0.750, 0.500], [0.500, 0.500, 0.000]],
  "delta_e_f_kcal_per_mol_atoms": 3.5,
  "dos_ef_per_ev_atom": 0.74
}

Record 2
{
  "formula": "KAg2Pb",
  "functional": "GGA-PBE",
  "state": "relaxed",
  "cell": [[3.383, 0.000, 0.000], [0.000, 4.336, 0.000], [-0.009, 0.000, 7.671]],
  "species": ["K", "Ag", "Ag", "Pb"],
  "fractional_positions": [[0.000, 0.000, 0.000], [0.500, 0.500, 0.304], [0.500, 0.500, 0.696], [0.000, 0.000, 0.500]],
  "delta_e_f_kcal_per_mol_atoms": 2.5,
  "dos_ef_per_ev_atom": 0.38
}

Record 3
{
  "formula": "KAg4Pb",
  "functional": "GGA-PBE",
  "state": "relaxed",
  "cell": [[0.000, 4.095, 4.095], [4.095, 0.000, 4.095], [4.095, 4.095, 0.000]],
  "species": ["K", "Ag", "Ag", "Ag", "Ag", "Pb"],
  "fractional_positions": [[0.000, 0.000, 0.000], [0.375, 0.375, 0.375], [0.375, 0.375, 0.874], [0.375, 0.874, 0.375], [0.874, 0.375, 0.375], [0.750, 0.750, 0.750]],
  "delta_e_f_kcal_per_mol_atoms": 0.7,
  "dos_ef_per_ev_atom": 0.76
}

Record 4
{
  "formula": "K3AgPb",
  "functional": "GGA-PBE",
  "state": "relaxed",
  "cell": [[6.317, 0.000, 0.000], [0.000, 6.317, 0.000], [0.000, 0.000, 6.317]],
  "species": ["K", "K", "K", "Ag", "Pb"],
  "fractional_positions": [[0.000, 0.000, 0.500], [0.000, 0.500, 0.000], [0.500, 0.000, 0.000], [0.000, 0.000, 0.000], [0.500, 0.500, 0.500]],
  "delta_e_f_kcal_per_mol_atoms": 4.6,
  "dos_ef_per_ev_atom": 0.79,
  "e_above_lowest_polymorph_mev_per_atom": 232
}

Record 5
{
  "formula": "KAgPb",
  "functional": "GGA-PBE",
  "state": "relaxed",
  "cell": [[-1.952, 1.952, 6.350], [1.952, -1.952, 6.350], [1.952, 1.952, -6.350]],
  "species": ["K", "Ag", "Pb"],
  "fractional_positions": [[0.000, 0.000, 0.000], [0.298, 0.298, 0.000], [0.711, 0.711, 0.000]],
  "delta_e_f_kcal_per_mol_atoms": -0.5,
  "dos_ef_per_ev_atom": 0.31
}

Record 6
{
  "formula": "KAg2Pb",
  "functional": "GGA-PBE",
  "state": "relaxed",
  "cell": [[1.756, 1.014, 10.196], [-1.756, 1.014, 10.196], [0.000, -2.028, 10.196]],
  "species": ["K", "Ag", "Ag", "Pb"],
  "fractional_positions": [[0.000, 0.000, 0.000], [0.244, 0.244, 0.244], [0.513, 0.513, 0.513], [0.772, 0.772, 0.772]],
  "delta_e_f_kcal_per_mol_atoms": 4.5,
  "dos_ef_per_ev_atom": 0.63
}

Record 7
{
  "formula": "K6AgPb2",
  "functional": "GGA-PBE",
  "state": "relaxed",
  "cell": [[3.133, 1.809, 11.379], [-3.133, 1.809, 11.379], [0.000, -3.618, 11.379]],
  "species": ["K", "K", "K", "K", "K", "K", "Ag", "Pb", "Pb"],
  "fractional_positions": [[0.076, 0.076, 0.076], [0.195, 0.195, 0.195], [0.309, 0.309, 0.309], [0.691, 0.691, 0.691], [0.805, 0.805, 0.805], [0.924, 0.924, 0.924], [0.500, 0.500, 0.500], [0.417, 0.417, 0.417], [0.583, 0.583, 0.583]],
  "delta_e_f_kcal_per_mol_atoms": -2.1,
  "dos_ef_per_ev_atom": 0.61
}

Record 8
{
  "formula": "KAgPb3",
  "functional": "GGA-PBE",
  "state": "relaxed",
  "cell": [[5.660, 0.000, 0.000], [0.000, 5.660, 0.000], [0.000, 0.000, 5.660]],
  "species": ["K", "Ag", "Pb", "Pb", "Pb"],
  "fractional_positions": [[0.000, 0.000, 0.000], [0.500, 0.500, 0.500], [0.000, 0.500, 0.500], [0.500, 0.000, 0.500], [0.500, 0.500, 0.000]],
  "delta_e_f_kcal_per_mol_atoms": 3.8,
  "dos_ef_per_ev_atom": 0.86,
  "e_above_lowest_polymorph_mev_per_atom": 176
}

Record 9
{
  "formula": "KAg2Pb",
  "functional": "GGA-PBE",
  "state": "relaxed",
  "cell": [[2.502, 1.444, 5.990], [-2.502, 1.444, 5.990], [0.000, -2.889, 5.990]],
  "species": ["K", "Ag", "Ag", "Pb"],
  "fractional_positions": [[0.000, 0.000, 0.000], [0.188, 0.188, 0.188], [0.812, 0.812, 0.812], [0.500, 0.500, 0.500]],
  "delta_e_f_kcal_per_mol_atoms": 0.2,
  "dos_ef_per_ev_atom": 0.53
}

Record 10
{
  "formula": "KAgPb",
  "functional": "GGA-PBE",
  "state": "relaxed",
  "cell": [[0.000, 3.691, 3.691], [3.691, 0.000, 3.691], [3.691, 3.691, 0.000]],
  "species": ["K", "Ag", "Pb"],
  "fractional_positions": [[0.000, 0.000, 0.000], [0.750, 0.750, 0.750], [0.500, 0.500, 0.500]],
  "delta_e_f_kcal_per_mol_atoms": 3.7,
  "dos_ef_per_ev_atom": 0.84
}

Record 11
{
  "formula": "KAgPb2",
  "functional": "GGA-PBE",
  "state": "relaxed",
  "cell": [[1.778, 1.027, 10.982], [-1.778, 1.027, 10.982], [0.000, -2.054, 10.982]],
  "species": ["K", "Ag", "Pb", "Pb"],
  "fractional_positions": [[0.000, 0.000, 0.000], [0.500, 0.500, 0.500], [0.237, 0.237, 0.237], [0.763, 0.763, 0.763]],
  "delta_e_f_kcal_per_mol_atoms": 1.8,
  "dos_ef_per_ev_atom": 0.38
}

Record 12
{
  "formula": "KAgPb3",
  "functional": "GGA-PBE",
  "state": "relaxed",
  "cell": [[7.003, 0.000, 0.000], [0.000, 6.430, 0.000], [0.000, 0.000, 7.142]],
  "species": ["K", "K", "Ag", "Ag", "Pb", "Pb", "Pb", "Pb", "Pb", "Pb"],
  "fractional_positions": [[0.000, 0.221, 0.000], [0.500, 0.779, 0.500], [0.000, 0.606, 0.308], [0.500, 0.394, 0.808], [0.000, 0.850, 0.640], [0.238, 0.281, 0.501], [0.262, 0.719, 0.001], [0.500, 0.150, 0.140], [0.738, 0.719, 0.001], [0.762, 0.281, 0.501]],
  "delta_e_f_kcal_per_mol_atoms": -0.2,
  "dos_ef_per_ev_atom": 0.44,
  "e_above_lowest_polymorph_mev_per_atom": 0
}

Record 13
{
  "formula": "K2Ag15Pb2",
  "functional": "GGA-PBE",
  "state": "relaxed",
  "cell": [[5.025, 2.901, 4.765], [-5.025, 2.901, 4.765], [0.000, -5.802, 4.765]],
  "species": ["K", "K", "Ag", "Ag", "Ag", "Ag", "Ag", "Ag", "Ag", "Ag", "Ag", "Ag", "Ag", "Ag", "Ag", "Ag", "Ag", "Pb", "Pb"],
  "fractional_positions": [[0.149, 0.149, 0.149], [0.851, 0.851, 0.851], [0.000, 0.500, 0.500], [0.157, 0.157, 0.661], [0.157, 0.661, 0.157], [0.184, 0.500, 0.816], [0.184, 0.816, 0.500], [0.339, 0.843, 0.843], [0.500, 0.000, 0.500], [0.500, 0.184, 0.816], [0.500, 0.500, 0.000], [0.500, 0.816, 0.184], [0.661, 0.157, 0.157], [0.816, 0.184, 0.500], [0.816, 0.500, 0.184], [0.843, 0.339, 0.843], [0.843, 0.843, 0.339], [0.396, 0.396, 0.396], [0.604, 0.604, 0.604]],
  "delta_e_f_kcal_per_mol_atoms": 0.9,
  "dos_ef_per_ev_atom": 0.27
}

Record 14
{
  "formula": "K3AgPb",
  "functional": "GGA-PBE",
  "state": "relaxed",
  "cell": [[6.305, -5.290, 0.000], [6.305, 5.290, 0.000], [-5.303, 0.000, 6.582]],
  "species": ["K", "K", "K", "K", "K", "K", "Ag", "Ag", "Pb", "Pb"],
  "fractional_positions": [[0.057, 0.057, 0.330], [0.091, 0.487, 0.258], [0.487, 0.091, 0.258], [0.513, 0.909, 0.742], [0.909, 0.513, 0.742], [0.943, 0.943, 0.670], [0.285, 0.285, 0.903], [0.715, 0.715, 0.097], [0.434, 0.434, 0.744], [0.566, 0.566, 0.256]],
  "delta_e_f_kcal_per_mol_atoms": 0.2,
  "dos_ef_per_ev_atom": 0.59,
  "e_above_lowest_polymorph_mev_per_atom": 38
}

Record 15
{
  "formula": "KAgPb2",
  "functional": "GGA-PBE",
  "state": "relaxed",
  "cell": [[4.813, 0.000, 0.000], [0.000, 4.813, 0.000], [0.000, 0.000, 5.078]],
  "species": ["K", "Ag", "Pb", "Pb"],
  "fractional_positions": [[0.000, 0.000, 0.000], [0.500, 0.500, 0.000], [0.000, 0.500, 0.500], [0.500, 0.000, 0.500]],
  "delta_e_f_kcal_per_mol_atoms": 2.3,
  "dos_ef_per_ev_atom": 0.59
}

Record 16
{
  "formula": "KAg4Pb12",
  "functional": "GGA-PBE",
  "state": "relaxed",
  "cell": [[-5.108, 5.108, 5.108], [5.108, -5.108, 5.108], [5.108, 5.108, -5.108]],
  "species": ["K", "Ag", "Ag", "Ag", "Ag", "Pb", "Pb", "Pb", "Pb", "Pb", "Pb", "Pb", "Pb", "Pb", "Pb", "Pb", "Pb"],
  "fractional_positions": [[0.000, 0.000, 0.000], [0.000, 0.000, 0.500], [0.000, 0.500, 0.000], [0.500, 0.000, 0.000], [0.500, 0.500, 0.500], [0.160, 0.348, 0.508], [0.160, 0.652, 0.812], [0.188, 0.840, 0.348], [0.348, 0.188, 0.840], [0.348, 0.508, 0.160], [0.492, 0.840, 0.652], [0.508, 0.160, 0.348], [0.652, 0.492, 0.840], [0.652, 0.812, 0.160], [0.812, 0.160, 0.652], [0.840, 0.348, 0.188], [0.840, 0.652, 0.492]],
  "delta_e_f_kcal_per_mol_atoms": 3.3,
  "dos_ef_per_ev_atom": 0.87
}

Record 17
{
  "formula": "KAgPb2",
  "functional": "GGA-PBE",
  "state": "relaxed",
  "cell": [[3.359, -5.288, 0.000], [3.359, 5.288, 0.000], [0.000, 0.000, 3.282]],
  "species": ["K", "Ag", "Pb", "Pb"],
  "fractional_positions": [[0.000, 0.000, 0.000], [0.500, 0.500, 0.000], [0.000, 0.500, 0.500], [0.500, 0.000, 0.500]],
  "delta_e_f_kcal_per_mol_atoms": 2.6,
  "dos_ef_per_ev_atom": 0.35
}

Record 18
{
  "formula": "K3AgPb4",
  "functional": "GGA-PBE",
  "state": "relaxed",
  "cell": [[6.929, 0.000, 0.000], [0.000, 12.886, 0.000], [0.000, 0.000, 6.949]],
  "species": ["K", "K", "K", "K", "K", "K", "Ag", "Ag", "Pb", "Pb", "Pb", "Pb", "Pb", "Pb", "Pb", "Pb"],
  "fractional_positions": [[0.250, 0.001, 0.172], [0.250, 0.499, 0.172], [0.250, 0.750, 0.547], [0.750, 0.250, 0.453], [0.750, 0.501, 0.828], [0.750, 0.999, 0.828], [0.250, 0.250, 0.316], [0.750, 0.750, 0.684], [0.006, 0.250, 0.963], [0.250, 0.122, 0.670], [0.250, 0.378, 0.670], [0.494, 0.250, 0.963], [0.506, 0.750, 0.037], [0.750, 0.622, 0.330], [0.750, 0.878, 0.330], [0.994, 0.750, 0.037]],
  "delta_e_f_kcal_per_mol_atoms": -4.6,
  "dos_ef_per_ev_atom": 0.05
}

Record 19
{
  "formula": "KAgPb6",
  "functional": "GGA-PBE",
  "state": "relaxed",
  "cell": [[5.000, 0.000, 0.000], [0.000, 5.000, 0.000], [0.000, 0.000, 10.891]],
  "species": ["K", "Ag", "Pb", "Pb", "Pb", "Pb", "Pb", "Pb"],
  "fractional_positions": [[0.000, 0.000, 0.000], [0.000, 0.000, 0.500], [0.000, 0.500, 0.334], [0.000, 0.500, 0.666], [0.500, 0.000, 0.334], [0.500, 0.000, 0.666], [0.500, 0.500, 0.148], [0.500, 0.500, 0.852]],
  "delta_e_f_kcal_per_mol_atoms": -0.8,
  "dos_ef_per_ev_atom": 0.19
}

Record 20
{
  "formula": "KAgPb2",
  "functional": "GGA-PBE",
  "state": "relaxed",
  "cell": [[3.584, 0.000, 0.000], [0.000, 5.197, 0.000], [-1.546, 0.000, 6.654]],
  "species": ["K", "Ag", "Pb", "Pb"],
  "fractional_positions": [[0.000, 0.000, 0.000], [0.408, 0.500, 0.757], [0.288, 0.000, 0.528], [0.673, 0.500, 0.323]],
  "delta_e_f_kcal_per_mol_atoms": 1.2,
  "dos_ef_per_ev_atom": 0.43
}